Material: BaLiSi2
Method: DFT, SCAN
State: single point on PBEsol structure

Results
Crystal system ... tetragonal
ΔE_f (raw) ... 0.2383 eV/atom

a = 4.3070 Å, b = 4.3070 Å, c = 4.8190 Å
α = 90.00°, β = 90.00°, γ = 90.00°
Space group P4/mmm (No. 123)
One atom of each set of equivalent atoms:
Ba (0.0000, 0.0000, 0.0000) x1
Li (0.5000, 0.5000, 0.0000) x1
Si (0.0000, 0.5000, 0.5000) x2



Material: BaLi2Si
Method: DFT, SCAN
State: single point on PBEsol structure

Results
Crystal system ... orthorhombic
ΔE_f (raw) ... 0.1359 eV/atom

a = 3.3635 Å, b = 3.8855 Å, c = 7.1279 Å
α = 90.00°, β = 90.00°, γ = 90.00°
Space group Pmmm (No. 47)
One atom of each set of equivalent atoms:
Ba (0.0000, 0.0000, 0.0000) x1
Li (0.5000, 0.5000, 0.3345) x2
Si (0.0000, 0.0000, 0.5000) x1



Material: BaLi2Si
Method: DFT, SCAN
State: single point on PBEsol structure

Results
Crystal system ... orthorhombic
ΔE_f (raw) ... -0.3124 eV/atom

a = 4.6179 Å, b = 6.5962 Å, c = 6.2998 Å
α = 90.00°, β = 90.00°, γ = 90.00°
Space group Pmmn (No. 59, origin choice 2)
One atom of each set of equivalent atoms:
Ba (0.2500, 0.2500, 0.0952) x2
Li (0.2500, 0.0464, 0.5913) x4
Si (0.2500, 0.7500, 0.3049) x2



Material: BaLi2Si
Method: DFT, SCAN
State: single point on PBEsol structure

Results
Crystal system ... orthorhombic
ΔE_f (raw) ... 0.1482 eV/atom

a = 6.2575 Å, b = 7.7623 Å, c = 7.8309 Å
α = 90.00°, β = 90.00°, γ = 90.00°
Space group Fmmm (No. 69)
One atom of each set of equivalent atoms:
Ba (0.0000, 0.0000, 0.0000) x4
Li (0.0000, 0.2500, 0.2500) x8
Si (0.0000, 0.0000, 0.5000) x4



Material: BaLiSi2
Method: DFT, SCAN
State: single point on PBEsol structure

Results
Crystal system ... orthorhombic
ΔE_f (raw) ... -0.2983 eV/atom

a = 3.8025 Å, b = 4.3854 Å, c = 11.8266 Å
α = 90.00°, β = 90.00°, γ = 90.00°
Space group Imm2 (No. 44)
One atom of each set of equivalent atoms:
Ba (0.0000, 0.0000, 0.0000) x2
Li (0.0000, 0.5000, 0.7553) x2
Si (0.0000, 0.0000, 0.6362) x2
Si (0.0000, 0.5000, 0.2566) x2



Material: BaLi3Si
Method: DFT, SCAN
State: single point on PBEsol structure

Results
Crystal system ... cubic
ΔE_f (raw) ... -0.1644 eV/atom

a = 4.9296 Å, b = 4.9296 Å, c = 4.9296 Å
α = 90.00°, β = 90.00°, γ = 90.00°
Space group Pm-3m (No. 221)
One atom of each set of equivalent atoms:
Ba (0.0000, 0.0000, 0.0000) x1
Li (0.0000, 0.5000, 0.5000) x3
Si (0.5000, 0.5000, 0.5000) x1



Material: BaLiSi3
Method: DFT, SCAN
State: single point on PBEsol structure

Results
Crystal system ... cubic
ΔE_f (raw) ... 1.6781 eV/atom

a = 5.6132 Å, b = 5.6132 Å, c = 5.6132 Å
α = 90.00°, β = 90.00°, γ = 90.00°
Space group Pm-3m (No. 221)
One atom of each set of equivalent atoms:
Ba (0.0000, 0.0000, 0.0000) x1
Li (0.5000, 0.5000, 0.5000) x1
Si (0.0000, 0.0000, 0.5000) x3



Material: BaLi2Si
Method: DFT, SCAN
State: single point on PBEsol structure

Results
Crystal system ... tetragonal
ΔE_f (raw) ... -0.1073 eV/atom

a = 5.0928 Å, b = 5.0928 Å, c = 17.0314 Å
α = 90.00°, β = 90.00°, γ = 90.00°
Space group I4_1/amd (No. 141, origin choice 2)
One atom of each set of equivalent atoms:
Ba (0.0000, 0.2500, 0.3750) x4
Li (0.0000, 0.0000, 0.0000) x8
Si (0.0000, 0.2500, 0.8750) x4



Material: BaLiSi2
Method: DFT, SCAN
State: single point on PBEsol structure

Results
Crystal system ... monoclinic
ΔE_f (raw) ... -0.2860 eV/atom

a = 8.5238 Å, b = 3.8617 Å, c = 6.1273 Å
α = 90.00°, β = 109.42°, γ = 90.00°
Space group C2/m (No. 12)
One atom of each set of equivalent atoms:
Ba (0.0000, 0.0000, 0.0000) x2
Li (0.0000, 0.5000, 0.5000) x2
Si (0.2275, 0.0000, 0.6056) x4



Material: Ba2Li2Si
Method: DFT, SCAN
State: single point on PBEsol structure

Results
Crystal system ... tetragonal
ΔE_f (raw) ... -0.0518 eV/atom

a = 7.2151 Å, b = 7.2151 Å, c = 5.2770 Å
α = 90.00°, β = 90.00°, γ = 90.00°
Space group P4/mbm (No. 127)
One atom of each set of equivalent atoms:
Ba (0.1965, 0.3035, 0.0000) x4
Li (0.1436, 0.6436, 0.5000) x4
Si (0.0000, 0.0000, 0.5000) x2



Material: BaLi2Si
Method: DFT, SCAN
State: single point on PBEsol structure

Results
Crystal system ... trigonal
ΔE_f (raw) ... -0.2666 eV/atom

a = 4.6146 Å, b = 4.6146 Å, c = 16.5884 Å
α = 90.00°, β = 90.00°, γ = 120.00°
Space group R3m (No. 160, hexagonal axes)
One atom of each set of equivalent atoms:
Ba (0.0000, 0.0000, 0.0000) x3
Li (0.0000, 0.0000, 0.1782) x3
Li (0.0000, 0.0000, 0.4812) x3
Si (0.0000, 0.0000, 0.7961) x3



Material: Ba3Li4Sn8
Method: DFT, SCAN
State: single point on PBEsol structure

Results
ΔE_f ... -8.80 eV per formula unit
Crystal system ... monoclinic

a = 18.3956 Å, b = 6.6760 Å, c = 6.7602 Å
α = 90.00°, β = 98.67°, γ = 90.00°
Space group C2/m (No. 12)
One atom of each set of equivalent atoms:
Ba (0.0000, 0.0000, 0.0000) x2
Ba (0.1770, 0.5000, 0.3111) x4
Li (0.0000, 0.2157, 0.5000) x4
Li (0.2130, 0.0000, 0.1313) x4
Sn (0.0161, 0.5000, 0.7972) x4
Sn (0.1289, 0.0000, 0.4499) x4
Sn (0.1512, 0.2632, 0.8046) x8



Material: BaLi2Sn2
Method: DFT, SCAN
State: single point on PBEsol structure

Results
ΔE_f ... -2.76 eV per formula unit
Crystal system ... tetragonal

a = 4.8184 Å, b = 4.8184 Å, c = 11.5374 Å
α = 90.00°, β = 90.00°, γ = 90.00°
Space group I4/mmm (No. 139)
One atom of each set of equivalent atoms:
Ba (0.0000, 0.0000, 0.0000) x2
Li (0.0000, 0.5000, 0.2500) x4
Sn (0.0000, 0.0000, 0.3787) x4



Material: BaSrLi2
Method: DFT, SCAN
State: single point on PBEsol structure

Results
Relative energy among the computed polymorphs ... 147.6 meV/atom
ΔE_f ... 0.68 eV per formula unit
Crystal system ... monoclinic

a = 6.1771 Å, b = 4.0209 Å, c = 7.0511 Å
α = 90.00°, β = 112.57°, γ = 90.00°
Space group P2/m (No. 10)
One atom of each set of equivalent atoms:
Ba (0.0000, 0.0000, 0.0000) x1
Sr (0.0000, 0.5000, 0.5000) x1
Li (0.5000, 0.0000, 0.5000) x1
Li (0.5000, 0.5000, 0.0000) x1



Material: BaSrLi4
Method: DFT, SCAN
State: single point on PBEsol structure

Results
ΔE_f ... 0.05 eV per formula unit
Crystal system ... cubic

a = 9.1512 Å, b = 9.1512 Å, c = 9.1512 Å
α = 90.00°, β = 90.00°, γ = 90.00°
Space group F-43m (No. 216)
One atom of each set of equivalent atoms:
Ba (0.0000, 0.0000, 0.0000) x4
Sr (0.2500, 0.2500, 0.2500) x4
Li (0.1231, 0.1231, 0.6231) x16



N(E_F) (computed, states/eV per cell): 1.3 2.6 0.7 2.4 2.2 1.9 3.0 1.5 3.2 4.6 0.7 5.8 4.8 3.4 17.7